1.
Compound: NdGa2SiRh2
Source: Alexandria via LeMat-Bulk
Functional: GGA-PBE
Structure: relaxed

Unit cell a=4.5086 b=4.5086 c=5.6307 alpha=90.00 beta=90.00 gamma=90.00
Last column: nearest neighbours and their distance in Å.
Positions (direct):
Ga1 0.5000 0.5000 0.2630  2 Ga 2.67-2.96, 4 Rh 2.70
Rh1 0.0000 0.5000 0.0000  2 Si 2.25
Si1 0.0000 0.0000 0.0000  4 Rh 2.25
Nd1 0.0000 0.0000 0.5000  2 Si 2.82
Ga2 0.5000 0.5000 0.7370  2 Ga 2.67-2.96, 4 Rh 2.70
Rh2 0.5000 0.0000 0.0000  2 Si 2.25

- Size of the total moment: 0.000 μB/f.u.
- Formation energy without anion corrections: -0.565 eV/atom
- Space-group type: P4/mmm

---

2.
Compound: Nd2GaSi4Rh3
Source: Alexandria via LeMat-Bulk
Functional: GGA-PBE
Structure: relaxed

Unit cell a=4.1842 b=4.1842 c=10.0724 alpha=90.00 beta=90.00 gamma=90.00
Last column: nearest neighbours and their distance in Å.
Positions (direct):
Rh1 0.5000 0.0000 0.8803  5 Si 2.38-2.41
Rh2 0.0000 0.0000 0.5000  4 Si 2.54
Rh3 0.0000 0.5000 0.1197  5 Si 2.38-2.41
Ga1 0.5000 0.5000 0.5000  4 Si 2.54
Si1 0.5000 0.0000 0.6437  3 Rh 2.38-2.54, 2 Ga 2.54
Nd1 0.0000 0.5000 0.7570  8 Si 3.17-3.22, 6 Rh 3.21-3.33, 2 Ga 3.33
Nd2 0.5000 0.0000 0.2430  8 Si 3.17-3.22, 6 Rh 3.21-3.33, 2 Ga 3.33
Si2 0.5000 0.5000 0.0000  4 Rh 2.41
Si3 0.0000 0.5000 0.3563  3 Rh 2.38-2.54, 2 Ga 2.54
Si4 0.0000 0.0000 0.0000  4 Rh 2.41

- Size of the total moment: 0.000 μB/f.u.
- Formation energy without anion corrections: -0.892 eV/atom
- Space-group type: P-4m2

---

3.
Compound: Nd2Sm2GaRh4
Source: Alexandria via LeMat-Bulk
Functional: GGA-PBE
Structure: relaxed

Unit cell a=6.5037 b=6.5037 c=6.5037 alpha=94.16 beta=117.63 gamma=117.63
Last column: nearest neighbours and their distance in Å.
Positions (direct):
Sm1 0.0000 0.6827 0.6827  1 Ga 2.81, 4 Rh 2.82
Rh1 0.4853 0.7427 0.7427  1 Ga 2.45
Nd1 0.5000 0.2500 0.7500  8 Rh 3.25, 4 Sm 3.42
Ga1 0.0000 0.0000 0.0000  4 Rh 2.45
Nd2 0.5000 0.7500 0.2500  8 Rh 3.25, 4 Sm 3.42
Sm2 0.0000 0.3173 0.3173  1 Ga 2.81, 4 Rh 2.82
Rh2 0.5147 0.2573 0.2573  1 Ga 2.45
Rh3 0.0000 0.2573 0.7427  1 Ga 2.45
Rh4 0.0000 0.7427 0.2573  1 Ga 2.45

- Size of the total moment: 0.000 μB/f.u.
- E_form: -0.43 eV per atom
- Space-group type: I4/mmm

---

4.
Compound: Nd2Ga3SnRh4
Source: Alexandria via LeMat-Bulk
Functional: GGA-PBE
Structure: relaxed

Unit cell a=4.3684 b=4.3684 c=10.2306 alpha=90.00 beta=90.00 gamma=90.00
Last column: nearest neighbours and their distance in Å.
Positions (direct):
Ga1 0.0000 0.5000 0.1198  5 Rh 2.47-2.50
Nd1 0.0000 0.5000 0.7674  8 Rh 3.23-3.36, 7 Ga 3.30-3.61, 2 Sn 3.50
Nd2 0.5000 0.0000 0.2326  8 Rh 3.23-3.36, 7 Ga 3.30-3.61, 2 Sn 3.50
Rh1 0.0000 0.5000 0.3612  3 Ga 2.47-2.61, 2 Sn 2.61
Ga2 0.5000 0.0000 0.8802  5 Rh 2.47-2.50
Ga3 0.0000 0.0000 0.5000  4 Rh 2.61
Rh2 0.5000 0.0000 0.6388  3 Ga 2.47-2.61, 2 Sn 2.61
Rh3 0.0000 0.0000 0.0000  4 Ga 2.50
Sn1 0.5000 0.5000 0.5000  4 Rh 2.61
Rh4 0.5000 0.5000 0.0000  4 Ga 2.50

- Size of the total moment: 0.000 μB/f.u.
- E_form: -0.77 eV per atom
- Space-group type: P-4m2

---

5.
Compound: Nd2Ga2SnRh5
Source: Alexandria via LeMat-Bulk
Functional: GGA-PBE
Structure: relaxed

Unit cell a=3.6309 b=9.9728 c=9.9728 alpha=90.00 beta=90.00 gamma=90.00
Last column: nearest neighbours and their distance in Å.
Positions (direct):
Rh1 0.5000 0.7089 0.4325  2 Ga 2.54
Rh2 0.5000 0.2089 0.0675  2 Ga 2.54
Rh3 0.5000 0.7911 0.9325  2 Ga 2.54
Sn1 0.0000 0.0000 0.0000  8 Rh 2.84
Ga1 0.0000 0.3785 0.1215  6 Rh 2.50-2.54
Nd1 0.0000 0.3246 0.8246  3 Ga 2.86-3.01, 6 Rh 3.07-3.16
Ga2 0.0000 0.1215 0.6215  6 Rh 2.50-2.54
Nd2 0.0000 0.6754 0.1754  3 Ga 2.86-3.01, 6 Rh 3.07-3.16
Rh4 0.5000 0.4325 0.2911  2 Ga 2.54
Rh5 0.5000 0.0675 0.7911  2 Ga 2.54
Rh6 0.5000 0.0000 0.5000  4 Ga 2.50
Rh7 0.5000 0.5000 0.0000  4 Ga 2.50
Sn2 0.0000 0.5000 0.5000  8 Rh 2.84
Nd3 0.0000 0.8246 0.6754  3 Ga 2.86-3.01, 6 Rh 3.07-3.16
Nd4 0.0000 0.1754 0.3246  3 Ga 2.86-3.01, 6 Rh 3.07-3.16
Rh8 0.5000 0.5675 0.7089  2 Ga 2.54
Ga3 0.0000 0.6215 0.8785  6 Rh 2.50-2.54
Rh9 0.5000 0.9325 0.2089  2 Ga 2.54
Rh10 0.5000 0.2911 0.5675  2 Ga 2.54
Ga4 0.0000 0.8785 0.3785  6 Rh 2.50-2.54

- Size of the total moment: 0.000 μB/f.u.
- E_form: -0.76 eV per atom
- Space-group type: P4/mbm

---

6.
Compound: Tb2Nd2GaRh4
Source: Alexandria via LeMat-Bulk
Functional: GGA-PBE
Structure: relaxed

Unit cell a=6.4813 b=6.4813 c=6.4813 alpha=93.53 beta=117.98 gamma=117.98
Last column: nearest neighbours and their distance in Å.
Positions (direct):
Nd1 0.0000 0.3143 0.3143  1 Ga 2.79, 4 Rh 2.83
Nd2 0.0000 0.6857 0.6857  1 Ga 2.79, 4 Rh 2.83
Tb1 0.5000 0.7500 0.2500  8 Rh 3.24, 4 Nd 3.39
Rh1 0.0000 0.7433 0.2567  1 Ga 2.42
Rh2 0.5133 0.2567 0.2567  1 Ga 2.42
Rh3 0.4867 0.7433 0.7433  1 Ga 2.42
Ga1 0.0000 0.0000 0.0000  4 Rh 2.42
Rh4 0.0000 0.2567 0.7433  1 Ga 2.42
Tb2 0.5000 0.2500 0.7500  8 Rh 3.24, 4 Nd 3.39

- Size of the total moment: 0.000 μB/f.u.
- E_form: -0.40 eV per atom
- Space-group type: I4/mmm

---

7.
Compound: TbNd2Ga3Rh4
Source: Alexandria via LeMat-Bulk
Functional: GGA-PBE
Structure: relaxed

Unit cell a=4.2938 b=4.2938 c=10.9341 alpha=90.00 beta=90.00 gamma=90.00
Last column: nearest neighbours and their distance in Å.
Positions (direct):
Ga1 0.5000 0.0000 0.8836  5 Rh 2.50-2.51
Rh1 0.5000 0.5000 0.0000  4 Ga 2.50
Rh2 0.0000 0.0000 0.0000  4 Ga 2.50
Nd1 0.0000 0.5000 0.7790  8 Rh 3.23-3.33, 4 Ga 3.24
Ga2 0.0000 0.5000 0.1164  5 Rh 2.50-2.51
Ga3 0.0000 0.0000 0.5000  4 Rh 2.73, 4 Tb 3.04
Rh3 0.0000 0.5000 0.3463  3 Ga 2.51-2.73, 2 Tb 2.73
Rh4 0.5000 0.0000 0.6537  3 Ga 2.51-2.73, 2 Tb 2.73
Nd2 0.5000 0.0000 0.2210  8 Rh 3.23-3.33, 4 Ga 3.24
Tb1 0.5000 0.5000 0.5000  4 Rh 2.73, 4 Ga 3.04

- Size of the total moment: 0.000 μB/f.u.
- E_form: -0.78 eV per atom
- Space-group type: P-4m2

---

8.
Compound: NdThGaRh
Source: Alexandria via LeMat-Bulk
Functional: GGA-PBE
Structure: relaxed

Unit cell a=4.2269 b=3.9255 c=6.3245 alpha=90.00 beta=109.52 gamma=90.00
Last column: nearest neighbours and their distance in Å.
Positions (direct):
Rh1 0.4088 0.0000 0.8176  2 Ga 2.74, 4 Th 2.92
Nd1 0.1490 0.0000 0.2980  4 Ga 3.04, 1 Rh 3.10
Th1 0.8727 0.5000 0.7453  4 Rh 2.92, 2 Ga 3.16
Ga1 0.5695 0.5000 0.1391  2 Rh 2.74, 4 Nd 3.04

- Size of the total moment: 0.000 μB/f.u.
- E_form: -0.72 eV per atom
- Space-group type: Amm2

---

Calculated total DFT energy (no corrections) (eV/atom), listed in the same order as above: -5.723 -6.523 -6.138 -5.975 -6.398 -6.089 -6.042 -6.365